Entry 1:
The following is a PBE calculation of a relaxed KLiI2O crystal, from the Alexandria database. Values from VASP.

The structure in Quantum ESPRESSO input format:
```
&SYSTEM
  ibrav = 0, nat = 5, ntyp = 4
/
ATOMIC_SPECIES
I 126.90 I.upf
Li 6.94 Li.upf
K 39.10 K.upf
O 16.00 O.upf
CELL_PARAMETERS angstrom
6.165 0.000 0.000
0.000 6.165 0.000
0.000 0.000 3.821
ATOMIC_POSITIONS angstrom
I 0.000 3.082 0.000
I 3.082 0.000 0.000
Li 0.000 0.000 0.000
K 3.082 3.082 1.911
O 0.000 0.000 1.911
```

As for the symmetry: P4/mmm. The final energy is -14.6 eV per formula unit. The uncorrected formation energy comes out at -0.71 eV/atom.


Entry 2:
The following is a PBE calculation of a relaxed ScAsCl crystal, from the Alexandria database. Values from VASP.

The structure in Quantum ESPRESSO input format:
```
&SYSTEM
  ibrav = 0, nat = 3, ntyp = 3
/
ATOMIC_SPECIES
As 74.92 As.upf
Cl 35.45 Cl.upf
Sc 44.96 Sc.upf
CELL_PARAMETERS angstrom
4.594 0.000 0.000
2.297 3.978 0.000
2.297 1.326 3.751
ATOMIC_POSITIONS angstrom
As 0.000 0.000 0.000
Cl 4.594 2.652 1.875
Sc 6.891 3.978 2.813
```

As for the symmetry: F-43m. The final energy is -15.2 eV per formula unit. The uncorrected formation energy comes out at -0.79 eV/atom.


Entry 3:
The following is a PBE calculation of a relaxed TcIrRh3 crystal, from the Alexandria database. Values from VASP.

The structure in Quantum ESPRESSO input format:
```
&SYSTEM
  ibrav = 0, nat = 10, ntyp = 3
/
ATOMIC_SPECIES
Rh 102.91 Rh.upf
Ir 192.22 Ir.upf
Tc 98.00 Tc.upf
CELL_PARAMETERS angstrom
4.481 0.000 0.000
0.000 6.951 0.000
-2.241 -3.475 5.049
ATOMIC_POSITIONS angstrom
Rh 2.241 2.538 0.960
Ir 0.000 -1.233 2.524
Ir 2.241 4.709 2.524
Tc 2.241 0.000 0.000
Rh 0.000 0.937 4.089
Tc 0.000 3.475 0.000
Rh 2.241 0.394 2.524
Rh 2.241 2.538 4.089
Rh 0.000 3.081 2.524
Rh 0.000 0.937 0.960
```

The formation energy is 0.48 eV per atom. As for the symmetry: Imma. The final energy is -38.9 eV per formula unit.


Entry 4:
The following is a PBE calculation of a relaxed CeTlBr crystal, from the Alexandria database. Values from VASP.

The structure in Quantum ESPRESSO input format:
```
&SYSTEM
  ibrav = 0, nat = 18, ntyp = 3
/
ATOMIC_SPECIES
Tl 204.38 Tl.upf
Ce 140.12 Ce.upf
Br 79.90 Br.upf
CELL_PARAMETERS angstrom
8.435 0.000 0.000
-2.812 9.323 0.000
-2.812 -4.661 8.074
ATOMIC_POSITIONS angstrom
Tl 0.416 5.323 3.890
Ce 2.655 0.463 7.275
Br 6.734 -0.584 2.397
Ce 2.969 3.254 4.039
Tl 2.395 -0.661 4.183
Br 1.111 2.878 6.370
Ce 5.466 -1.870 4.837
Br 3.922 -2.294 7.381
Ce 0.157 4.198 0.799
Ce -0.157 1.407 4.035
Br 1.701 1.784 1.704
Ce -2.655 6.532 3.236
Tl 3.228 5.369 1.519
Tl -0.416 -0.708 6.555
Tl -3.228 1.369 5.409
Br -3.922 5.245 5.677
Tl 6.039 3.292 2.664
Br -1.111 6.955 0.693
```

As for the symmetry: R-3. The final energy is -12.1 eV per formula unit. The uncorrected formation energy comes out at -0.72 eV/atom.


Entry 5:
The following is a PBE calculation of a relaxed DyGe4Rh4 crystal, from the Alexandria database. Values from VASP.

The structure in Quantum ESPRESSO input format:
```
&SYSTEM
  ibrav = 0, nat = 18, ntyp = 3
/
ATOMIC_SPECIES
Ge 72.64 Ge.upf
Dy 162.50 Dy.upf
Rh 102.91 Rh.upf
CELL_PARAMETERS angstrom
6.138 0.000 0.000
0.000 6.138 0.000
0.000 0.000 8.180
ATOMIC_POSITIONS angstrom
Ge 0.000 4.366 5.566
Dy 3.069 3.069 4.090
Rh 0.000 1.661 3.106
Rh 4.730 3.069 7.196
Ge 1.297 3.069 1.476
Rh 1.408 3.069 7.196
Dy 0.000 0.000 0.000
Ge 4.366 0.000 2.614
Ge 3.069 4.840 6.704
Rh 1.661 0.000 5.074
Rh 3.069 1.408 0.984
Rh 0.000 4.477 3.106
Ge 0.000 1.772 5.566
Ge 1.772 0.000 2.614
Rh 3.069 4.730 0.984
Ge 4.840 3.069 1.476
Ge 3.069 1.297 6.704
Rh 4.477 0.000 5.074
```

The formation energy is -0.58 eV per atom. As for the symmetry: P4_2/nmc. The final energy is -57.7 eV per formula unit.


Entry 6:
The following is a PBE calculation of a relaxed K2HgSb4Au3 crystal, from the Alexandria database. Values from VASP.

The structure in Quantum ESPRESSO input format:
```
&SYSTEM
  ibrav = 0, nat = 10, ntyp = 4
/
ATOMIC_SPECIES
Sb 121.76 Sb.upf
Au 196.97 Au.upf
K 39.10 K.upf
Hg 200.59 Hg.upf
CELL_PARAMETERS angstrom
4.916 0.000 0.000
0.000 4.916 0.000
0.000 0.000 11.491
ATOMIC_POSITIONS angstrom
Sb 2.458 2.458 0.000
Au 0.000 0.000 5.745
K 2.458 0.000 2.922
Hg 2.458 2.458 5.745
Au 2.458 0.000 10.031
Sb 0.000 0.000 0.000
Au 0.000 2.458 1.460
Sb 0.000 2.458 4.181
K 0.000 2.458 8.569
Sb 2.458 0.000 7.310
```

As for the symmetry: P-4m2. The final energy is -31.5 eV per formula unit. The uncorrected formation energy comes out at -0.26 eV/atom.


> Among the records above, which one has the highest final energy?

CeTlBr


Repeat the second record exactly.
The following is a PBE calculation of a relaxed ScAsCl crystal, from the Alexandria database. Values from VASP.

The structure in Quantum ESPRESSO input format:
```
&SYSTEM
  ibrav = 0, nat = 3, ntyp = 3
/
ATOMIC_SPECIES
As 74.92 As.upf
Cl 35.45 Cl.upf
Sc 44.96 Sc.upf
CELL_PARAMETERS angstrom
4.594 0.000 0.000
2.297 3.978 0.000
2.297 1.326 3.751
ATOMIC_POSITIONS angstrom
As 0.000 0.000 0.000
Cl 4.594 2.652 1.875
Sc 6.891 3.978 2.813
```

As for the symmetry: F-43m. The final energy is -15.2 eV per formula unit. The uncorrected formation energy comes out at -0.79 eV/atom.


Repeat the third record exactly.
The following is a PBE calculation of a relaxed TcIrRh3 crystal, from the Alexandria database. Values from VASP.

The structure in Quantum ESPRESSO input format:
```
&SYSTEM
  ibrav = 0, nat = 10, ntyp = 3
/
ATOMIC_SPECIES
Rh 102.91 Rh.upf
Ir 192.22 Ir.upf
Tc 98.00 Tc.upf
CELL_PARAMETERS angstrom
4.481 0.000 0.000
0.000 6.951 0.000
-2.241 -3.475 5.049
ATOMIC_POSITIONS angstrom
Rh 2.241 2.538 0.960
Ir 0.000 -1.233 2.524
Ir 2.241 4.709 2.524
Tc 2.241 0.000 0.000
Rh 0.000 0.937 4.089
Tc 0.000 3.475 0.000
Rh 2.241 0.394 2.524
Rh 2.241 2.538 4.089
Rh 0.000 3.081 2.524
Rh 0.000 0.937 0.960
```

The formation energy is 0.48 eV per atom. As for the symmetry: Imma. The final energy is -38.9 eV per formula unit.